--- a ---
Entry from Alexandria: a geometry-optimized MgSb2As structure (GGA-PBE).

abc: 12.586 3.887 4.618
angles: 90.00 109.29 90.00
Space group Cm (No. 8)
Asymmetric unit:
Mg1 0.000 0.000 0.000 [2 per cell]
Sb1 0.238 0.500 0.802 [2 per cell]
Sb2 0.483 0.000 0.485 [2 per cell]
As1 0.235 0.000 0.198 [2 per cell]

***

--- b ---
Entry from Alexandria: a geometry-optimized MgSb2As structure (GGA-PBE).

abc: 6.442 6.442 13.081
angles: 90.00 90.00 90.00
Space group I-42d (No. 122)
Asymmetric unit:
Mg1 0.000 0.000 0.000 [4 per cell]
Sb1 0.239 0.250 0.625 [8 per cell]
As1 0.000 0.000 0.500 [4 per cell]

***

Best to worst by energy: a, b.

***

--- a ---
Entry from Alexandria: a geometry-optimized Mg2SbAs structure (GGA-PBE).

abc: 4.3788 4.3788 17.3344
angles: 90.00 90.00 120.00
Space group R3m (No. 160, hexagonal axes)
Asymmetric unit:
Mg1 0.0000 0.0000 0.0000 [3 per cell]
Mg2 0.0000 0.0000 0.1839 [3 per cell]
Sb1 0.0000 0.0000 0.4229 [3 per cell]
As1 0.0000 0.0000 0.5894 [3 per cell]

***

--- b ---
Entry from Alexandria: a geometry-optimized Mg2SbAs structure (GGA-PBE).

abc: 3.093 3.093 9.882
angles: 90.00 90.00 90.00
Space group P4mm (No. 99)
Asymmetric unit:
Mg1 0.000 0.000 0.000 [1 per cell]
Mg2 0.500 0.500 0.250 [1 per cell]
Sb1 0.000 0.000 0.483 [1 per cell]
As1 0.500 0.500 0.815 [1 per cell]

***

Best to worst by energy: a, b.

***

--- a ---
Entry from Alexandria: a geometry-optimized Mg2SbAs structure (GGA-PBE).

abc: 3.191 4.131 7.829
angles: 90.00 90.24 90.00
Space group Pm (No. 6)
Asymmetric unit:
Mg1 0.000 0.000 0.000 [1 per cell]
Mg2 0.484 0.500 0.437 [1 per cell]
Sb1 0.989 0.000 0.628 [1 per cell]
As1 0.501 0.500 0.107 [1 per cell]

***

--- b ---
Entry from Alexandria: a geometry-optimized Mg2SbAs structure (GGA-PBE).

abc: 4.042 4.353 5.057
angles: 90.00 90.00 90.00
Space group Pmmm (No. 47)
Asymmetric unit:
Mg1 0.000 0.000 0.000 [1 per cell]
Mg2 0.000 0.500 0.500 [1 per cell]
Sb1 0.500 0.000 0.500 [1 per cell]
As1 0.500 0.500 0.000 [1 per cell]

***

--- c ---
Entry from Alexandria: a geometry-optimized Mg2SbAs structure (GGA-PBE).

abc: 3.346 3.953 6.898
angles: 90.00 101.41 90.00
Space group P2/m (No. 10)
Asymmetric unit:
Mg1 0.049 0.000 0.271 [2 per cell]
Sb1 0.500 0.500 0.000 [1 per cell]
As1 0.500 0.500 0.500 [1 per cell]

***

--- d ---
Entry from Alexandria: a geometry-optimized Mg2SbAs structure (GGA-PBE).

abc: 3.2836 3.2836 30.5153
angles: 90.00 90.00 120.00
Space group R3m (No. 160, hexagonal axes)
Asymmetric unit:
Mg1 0.0000 0.0000 0.0000 [3 per cell]
Mg2 0.0000 0.0000 0.2463 [3 per cell]
Sb1 0.0000 0.0000 0.5016 [3 per cell]
As1 0.0000 0.0000 0.7333 [3 per cell]

***

Best to worst by energy: a, c, b, d.

***

--- a ---
Entry from Alexandria: a geometry-optimized Mg2SbAs structure (GGA-PBE).

abc: 3.7320 3.7320 23.2034
angles: 90.00 90.00 120.00
Space group R-3m (No. 166, hexagonal axes)
Asymmetric unit:
Mg1 0.0000 0.0000 0.2341 [6 per cell]
Sb1 0.0000 0.0000 0.0000 [3 per cell]
As1 0.0000 0.0000 0.5000 [3 per cell]

***

--- b ---
Entry from Alexandria: a geometry-optimized Mg2SbAs structure (GGA-PBE).

abc: 7.074 7.074 7.074
angles: 90.00 90.00 90.00
Space group Fm-3m (No. 225)
Asymmetric unit:
Mg1 0.250 0.250 0.250 [8 per cell]
Sb1 0.000 0.000 0.000 [4 per cell]
As1 0.000 0.000 0.500 [4 per cell]

***

Best to worst by energy: a, b.

***

--- a ---
Entry from Alexandria: a geometry-optimized Mg2SbAs structure (GGA-PBE).

abc: 3.951 3.951 5.956
angles: 90.00 90.00 90.00
Space group P4mm (No. 99)
Asymmetric unit:
Mg1 0.000 0.000 0.000 [1 per cell]
Mg2 0.500 0.500 0.359 [1 per cell]
Sb1 0.000 0.000 0.510 [1 per cell]
As1 0.500 0.500 0.906 [1 per cell]

***

--- b ---
Entry from Alexandria: a geometry-optimized Mg2SbAs structure (GGA-PBE).

abc: 4.187 5.270 8.117
angles: 90.00 90.00 90.00
Space group Immm (No. 71)
Asymmetric unit:
Mg1 0.000 0.000 0.230 [4 per cell]
Sb1 0.000 0.500 0.000 [2 per cell]
As1 0.000 0.500 0.500 [2 per cell]

***

Best to worst by energy: a, b.

***

--- a ---
Entry from Alexandria: a geometry-optimized Mg2SbAs structure (GGA-PBE).

abc: 7.128 7.128 7.128
angles: 90.00 90.00 90.00
Space group F-43m (No. 216)
Asymmetric unit:
Mg1 0.000 0.000 0.000 [4 per cell]
Mg2 0.250 0.250 0.250 [4 per cell]
Sb1 0.000 0.000 0.500 [4 per cell]
As1 0.250 0.250 0.750 [4 per cell]

***

--- b ---
Entry from Alexandria: a geometry-optimized Mg2SbAs structure (GGA-PBE).

abc: 3.221 3.843 15.415
angles: 90.00 90.00 90.00
Space group Imm2 (No. 44)
Asymmetric unit:
Mg1 0.000 0.000 0.000 [2 per cell]
Mg2 0.000 0.500 0.223 [2 per cell]
Sb1 0.000 0.500 0.840 [2 per cell]
As1 0.000 0.000 0.579 [2 per cell]

***

--- c ---
Entry from Alexandria: a geometry-optimized Mg2SbAs structure (GGA-PBE).

abc: 6.443 7.946 3.438
angles: 90.00 90.00 90.00
Space group Cmmm (No. 65)
Asymmetric unit:
Mg1 0.250 0.250 0.000 [4 per cell]
Sb1 0.000 0.000 0.500 [2 per cell]
As1 0.000 0.500 0.500 [2 per cell]

***

Best to worst by energy: b, c, a.

***

--- a ---
Entry from Alexandria: a geometry-optimized Mg2SbAs structure (GGA-PBE).

abc: 7.737 7.737 6.223
angles: 90.00 90.00 90.00
Space group I-42d (No. 122)
Asymmetric unit:
Mg1 0.212 0.750 0.125 [8 per cell]
Sb1 0.000 0.000 0.500 [4 per cell]
As1 0.000 0.000 0.000 [4 per cell]

***

--- b ---
Entry from Alexandria: a geometry-optimized Mg2SbAs structure (GGA-PBE).

abc: 11.061 3.472 4.756
angles: 90.00 102.28 90.00
Space group Cm (No. 8)
Asymmetric unit:
Mg1 0.000 0.000 0.000 [2 per cell]
Mg2 0.211 0.000 0.594 [2 per cell]
Sb1 0.457 0.000 0.478 [2 per cell]
As1 0.225 0.500 0.066 [2 per cell]

***

Best to worst by energy: a, b.

***

--- a ---
Entry from Alexandria: a geometry-optimized MgSb3As structure (GGA-PBE).

abc: 5.309 5.309 5.309
angles: 90.00 90.00 90.00
Space group Pm-3m (No. 221)
Asymmetric unit:
Mg1 0.000 0.000 0.000 [1 per cell]
Sb1 0.000 0.000 0.500 [3 per cell]
As1 0.500 0.500 0.500 [1 per cell]

***

--- b ---
Entry from Alexandria: a geometry-optimized MgSb3As structure (GGA-PBE).

abc: 5.392 5.392 5.392
angles: 90.00 90.00 90.00
Space group Pm-3m (No. 221)
Asymmetric unit:
Mg1 0.000 0.000 0.000 [1 per cell]
Sb1 0.000 0.500 0.500 [3 per cell]
As1 0.500 0.500 0.500 [1 per cell]

***

Best to worst by energy: b, a.

***

--- a ---
Entry from Alexandria: a geometry-optimized MgSb2As2 structure (GGA-PBE).

abc: 7.839 7.839 4.005
angles: 90.00 90.00 90.00
Space group P4/mbm (No. 127)
Asymmetric unit:
Mg1 0.000 0.000 0.000 [2 per cell]
Sb1 0.161 0.339 0.500 [4 per cell]
As1 0.170 0.670 0.000 [4 per cell]

***

--- b ---
Entry from Alexandria: a geometry-optimized MgSb2As2 structure (GGA-PBE).

abc: 5.543 5.543 8.924
angles: 90.00 90.00 90.00
Space group I4/mmm (No. 139)
Asymmetric unit:
Mg1 0.000 0.000 0.000 [2 per cell]
Sb1 0.000 0.000 0.328 [4 per cell]
As1 0.000 0.500 0.250 [4 per cell]

***

Best to worst by energy: a, b.

***

--- a ---
Entry from Alexandria: a geometry-optimized Mg2Sb2As structure (GGA-PBE).

abc: 5.029 5.029 10.771
angles: 90.00 90.00 90.00
Space group I4/mmm (No. 139)
Asymmetric unit:
Mg1 0.000 0.500 0.250 [4 per cell]
Sb1 0.000 0.000 0.127 [4 per cell]
As1 0.000 0.000 0.500 [2 per cell]

***

--- b ---
Entry from Alexandria: a geometry-optimized Mg2Sb2As structure (GGA-PBE).

abc: 7.945 7.945 3.948
angles: 90.00 90.00 90.00
Space group P4/mbm (No. 127)
Asymmetric unit:
Mg1 0.137 0.363 0.000 [4 per cell]
Sb1 0.170 0.670 0.500 [4 per cell]
As1 0.000 0.000 0.500 [2 per cell]

***

--- c ---
Entry from Alexandria: a geometry-optimized Mg2Sb2As structure (GGA-PBE).

abc: 7.315 7.315 4.638
angles: 90.00 90.00 90.00
Space group P4/mbm (No. 127)
Asymmetric unit:
Mg1 0.165 0.335 0.000 [4 per cell]
Sb1 0.137 0.637 0.500 [4 per cell]
As1 0.000 0.000 0.000 [2 per cell]

***

Best to worst by energy: c, b, a.

***

--- a ---
Entry from Alexandria: a geometry-optimized MgSbTe2As structure (GGA-PBE).

abc: 5.572 5.572 5.214
angles: 90.00 90.00 90.00
Space group P4/mmm (No. 123)
Asymmetric unit:
Mg1 0.000 0.000 0.000 [1 per cell]
Sb1 0.500 0.500 0.000 [1 per cell]
Te1 0.000 0.500 0.500 [2 per cell]
As1 0.500 0.500 0.500 [1 per cell]

***

--- b ---
Entry from Alexandria: a geometry-optimized MgSbTe2As structure (GGA-PBE).

abc: 5.343 5.343 5.382
angles: 90.00 90.00 90.00
Space group P4/mmm (No. 123)
Asymmetric unit:
Mg1 0.000 0.000 0.000 [1 per cell]
Sb1 0.000 0.000 0.500 [1 per cell]
Te1 0.000 0.500 0.000 [2 per cell]
As1 0.500 0.500 0.500 [1 per cell]

***

Best to worst by energy: a, b.

***

--- a ---
Entry from Alexandria: a geometry-optimized MgSc3As structure (GGA-PBE).

abc: 5.109 5.109 5.109
angles: 90.00 90.00 90.00
Space group Pm-3m (No. 221)
Asymmetric unit:
Mg1 0.000 0.000 0.000 [1 per cell]
Sc1 0.000 0.000 0.500 [3 per cell]
As1 0.500 0.500 0.500 [1 per cell]

***

--- b ---
Entry from Alexandria: a geometry-optimized MgSc3As structure (GGA-PBE).

abc: 5.088 5.088 5.088
angles: 90.00 90.00 90.00
Space group Pm-3m (No. 221)
Asymmetric unit:
Mg1 0.000 0.000 0.000 [1 per cell]
Sc1 0.000 0.500 0.500 [3 per cell]
As1 0.500 0.500 0.500 [1 per cell]

***

Best to worst by energy: b, a.